# 1
! TmUTe | OQMD via LeMat-Bulk | PBE | optimized geometry; values from VASP
! **Distance to the lowest polymorph of the same formula**: 0.00 eV per formula unit
! **Total magnetization**: 4.6 μB per formula unit
&SYSTEM
  ibrav = 0, nat = 3, ntyp = 3
/
ATOMIC_SPECIES
U 238.03 U.upf
Tm 168.93 Tm.upf
Te 127.60 Te.upf
CELL_PARAMETERS angstrom
4.3949 -2.4979 -0.1195
1.0655 -3.4145 3.5742
0.0794 -4.9234 -1.1502
ATOMIC_POSITIONS angstrom
U 4.1548 -8.1269 1.7284
Tm 1.3849 -2.7090 0.5761
Te 0.0000 0.0000 0.0000

# 2
! InHg3GeS4 | OQMD via LeMat-Bulk | PBE | optimized geometry; values from VASP
! **Distance to the lowest polymorph of the same formula**: 1.50 eV per formula unit
&SYSTEM
  ibrav = 0, nat = 9, ntyp = 4
/
ATOMIC_SPECIES
S 32.06 S.upf
Hg 200.59 Hg.upf
In 114.82 In.upf
Ge 72.64 Ge.upf
CELL_PARAMETERS angstrom
6.4713 0.0000 0.0000
0.0000 6.4713 0.0000
0.0000 0.0000 6.4713
ATOMIC_POSITIONS angstrom
S 1.4822 4.9891 1.4822
Hg 3.2357 0.0000 0.0000
S 1.4822 1.4822 4.9891
In 3.2357 3.2357 3.2357
Ge 0.0000 0.0000 0.0000
Hg 0.0000 0.0000 3.2357
Hg 0.0000 3.2357 0.0000
S 4.9891 1.4822 1.4822
S 4.9891 4.9891 4.9891

# 3
! SnOs | OQMD via LeMat-Bulk | PBE | optimized geometry; values from VASP
! **Total magnetization**: 0.0 μB per formula unit
&SYSTEM
  ibrav = 0, nat = 2, ntyp = 2
/
ATOMIC_SPECIES
Sn 118.71 Sn.upf
Os 190.23 Os.upf
CELL_PARAMETERS angstrom
1.0150 -1.0967 3.9624
2.0354 2.7449 2.5013
-2.0154 1.7797 3.2718
ATOMIC_POSITIONS angstrom
Sn 0.2588 0.8569 2.4339
Os 0.0000 0.0000 0.0000

# 4
! LiY2FeH6 | OQMD via LeMat-Bulk | PBE | optimized geometry; values from VASP
! **Total magnetization**: 2.3 μB per formula unit
&SYSTEM
  ibrav = 0, nat = 10, ntyp = 4
/
ATOMIC_SPECIES
H 1.01 H.upf
Li 6.94 Li.upf
Y 88.91 Y.upf
Fe 55.84 Fe.upf
CELL_PARAMETERS angstrom
0.0000 3.5377 3.5377
3.5377 0.0000 3.5377
3.5377 3.5377 0.0000
ATOMIC_POSITIONS angstrom
H 1.6941 3.5377 3.5377
Li 3.5377 3.5377 3.5377
H 5.3813 3.5377 3.5377
Y 1.7689 1.7689 1.7689
H 3.5377 3.5377 1.6941
H 3.5377 3.5377 5.3813
Y 5.3066 5.3066 5.3066
H 3.5377 1.6941 3.5377
Fe 0.0000 0.0000 0.0000
H 3.5377 5.3813 3.5377

no.,volume (Å³ per atom),total DFT energy (no corrections) (eV/f.u.)
1,30.47,-18.439
2,30.11,-24.398
3,26.85,-12.357
4,8.86,-47.437